# 1
## Pm6Ho8Al (PBE)

Data for a geometry-optimized Pm6Ho8Al structure.

Space-group type: P-3, No. 147
Energy of formation in eV per atom: 0.080

Geometry as CIF:
```
data_Pm6Ho8Al
_chemical_formula_sum 'Pm6 Ho8 Al1'
_space_group_name_H-M_alt 'P 1'
_space_group_IT_number 1
_cell_length_a 9.451
_cell_length_b 9.451
_cell_length_c 6.238
_cell_angle_alpha 90.00
_cell_angle_beta 90.00
_cell_angle_gamma 120.00
loop_
_space_group_symop_operation_xyz
'x,y,z'
loop_
_atom_site_label
_atom_site_fract_x
_atom_site_fract_y
_atom_site_fract_z
_atom_site_occupancy
Pm1 0.091 0.454 0.308 1
Pm2 0.363 0.909 0.308 1
Pm3 0.454 0.363 0.692 1
Pm4 0.546 0.637 0.308 1
Pm5 0.637 0.091 0.692 1
Pm6 0.909 0.546 0.692 1
Ho1 0.040 0.258 0.800 1
Ho2 0.217 0.960 0.800 1
Ho3 0.258 0.217 0.200 1
Ho4 0.333 0.667 0.813 1
Ho5 0.667 0.333 0.187 1
Ho6 0.742 0.783 0.800 1
Ho7 0.783 0.040 0.200 1
Ho8 0.960 0.742 0.200 1
Al1 0.000 0.000 0.500 1
```

---

# 2
## Sc3AlN (PBE)

Data for a geometry-optimized Sc3AlN structure.

Space-group type: R-3c, No. 167
Uncorrected formation energy in eV/atom: -0.330

Geometry as CIF:
```
data_Sc3AlN
_chemical_formula_sum 'Sc6 Al2 N2'
_space_group_name_H-M_alt 'P 1'
_space_group_IT_number 1
_cell_length_a 7.576
_cell_length_b 7.576
_cell_length_c 7.576
_cell_angle_alpha 50.69
_cell_angle_beta 50.69
_cell_angle_gamma 50.69
loop_
_space_group_symop_operation_xyz
'x,y,z'
loop_
_atom_site_label
_atom_site_fract_x
_atom_site_fract_y
_atom_site_fract_z
_atom_site_occupancy
Sc1 0.053 0.750 0.447 1
Sc2 0.250 0.553 0.947 1
Sc3 0.447 0.053 0.750 1
Sc4 0.553 0.947 0.250 1
Sc5 0.750 0.447 0.053 1
Sc6 0.947 0.250 0.553 1
Al1 0.000 0.000 0.000 1
Al2 0.500 0.500 0.500 1
N1 0.250 0.250 0.250 1
N2 0.750 0.750 0.750 1
```

---

# 3
## Tm3Pu2UAs6 (PBE)

Data for a geometry-optimized Tm3Pu2UAs6 structure.

Space-group type: C2/m, No. 12
Energy of formation in eV per atom: -1.219

Geometry as CIF:
```
data_Tm3Pu2UAs6
_chemical_formula_sum 'Tm3 Pu2 U1 As6'
_space_group_name_H-M_alt 'P 1'
_space_group_IT_number 1
_cell_length_a 9.141
_cell_length_b 9.141
_cell_length_c 8.184
_cell_angle_alpha 102.95
_cell_angle_beta 102.95
_cell_angle_gamma 25.85
loop_
_space_group_symop_operation_xyz
'x,y,z'
loop_
_atom_site_label
_atom_site_fract_x
_atom_site_fract_y
_atom_site_fract_z
_atom_site_occupancy
Tm1 0.000 0.000 0.000 1
Tm2 0.332 0.332 0.669 1
Tm3 0.668 0.668 0.331 1
Pu1 0.334 0.334 0.168 1
Pu2 0.666 0.666 0.832 1
U1 0.000 0.000 0.500 1
As1 0.166 0.166 0.084 1
As2 0.166 0.166 0.579 1
As3 0.498 0.498 0.749 1
As4 0.502 0.502 0.251 1
As5 0.834 0.834 0.421 1
As6 0.834 0.834 0.916 1
```

---

# 4
## Zr2TaZnAs (PBE)

Data for a geometry-optimized Zr2TaZnAs structure.

Space-group type: P4/mmm, No. 123
Energy of formation in eV per atom: 0.738

Geometry as CIF:
```
data_Zr2TaZnAs
_chemical_formula_sum 'Zr2 Ta1 Zn1 As1'
_space_group_name_H-M_alt 'P 1'
_space_group_IT_number 1
_cell_length_a 5.165
_cell_length_b 5.165
_cell_length_c 4.889
_cell_angle_alpha 90.00
_cell_angle_beta 90.00
_cell_angle_gamma 90.00
loop_
_space_group_symop_operation_xyz
'x,y,z'
loop_
_atom_site_label
_atom_site_fract_x
_atom_site_fract_y
_atom_site_fract_z
_atom_site_occupancy
Zr1 0.000 0.500 0.000 1
Zr2 0.500 0.000 0.000 1
Ta1 0.000 0.000 0.000 1
Zn1 0.500 0.500 0.500 1
As1 0.000 0.000 0.500 1
```

---

# 5
## ZrNb2AlH (PBE)

Data for a geometry-optimized ZrNb2AlH structure.

Space-group type: P4/mmm, No. 123
Calculated total energy in eV per atom: -7.418

Geometry as CIF:
```
data_ZrNb2AlH
_chemical_formula_sum 'Zr1 Nb2 Al1 H1'
_space_group_name_H-M_alt 'P 1'
_space_group_IT_number 1
_cell_length_a 4.084
_cell_length_b 4.084
_cell_length_c 4.639
_cell_angle_alpha 90.00
_cell_angle_beta 90.00
_cell_angle_gamma 90.00
loop_
_space_group_symop_operation_xyz
'x,y,z'
loop_
_atom_site_label
_atom_site_fract_x
_atom_site_fract_y
_atom_site_fract_z
_atom_site_occupancy
Zr1 0.000 0.000 0.000 1
Nb1 0.000 0.500 0.500 1
Nb2 0.500 0.000 0.500 1
Al1 0.500 0.500 0.000 1
H1 0.000 0.000 0.500 1
```

---

# 6
## PrErGaPd (PBE)

Data for a geometry-optimized PrErGaPd structure.

Space-group type: Amm2, No. 38
Energy of formation in eV per atom: -0.687

Geometry as CIF:
```
data_PrErGaPd
_chemical_formula_sum 'Pr2 Er2 Ga2 Pd2'
_space_group_name_H-M_alt 'P 1'
_space_group_IT_number 1
_cell_length_a 4.445
_cell_length_b 3.833
_cell_length_c 11.377
_cell_angle_alpha 90.00
_cell_angle_beta 90.00
_cell_angle_gamma 90.00
loop_
_space_group_symop_operation_xyz
'x,y,z'
loop_
_atom_site_label
_atom_site_fract_x
_atom_site_fract_y
_atom_site_fract_z
_atom_site_occupancy
Pr1 0.000 0.000 0.000 1
Pr2 0.000 0.500 0.500 1
Er1 0.500 0.000 0.286 1
Er2 0.500 0.500 0.786 1
Ga1 0.500 0.000 0.579 1
Ga2 0.500 0.500 0.079 1
Pd1 0.000 0.000 0.726 1
Pd2 0.000 0.500 0.226 1
```

---

It is found that the calculated density values, taken in the order of the records, are 7.63 2.43 9.63 6.41 6.55 8.30 g/cm³.